DFT (PBEsol) results for a relaxed structure of YAgHg2. Values from VASP.

Geometry as Quantum ESPRESSO input:
```
&SYSTEM
  ibrav = 0, nat = 4, ntyp = 3
/
ATOMIC_SPECIES
Hg 200.59 Hg.upf
Ag 107.87 Ag.upf
Y 88.91 Y.upf
CELL_PARAMETERS angstrom
4.3937 0.0000 0.0000
0.0000 4.4609 0.0000
0.0000 0.0000 4.4609
ATOMIC_POSITIONS crystal
Hg 0.0000 0.5000 0.0000
Hg 0.0000 0.0000 0.5000
Ag 0.5000 0.0000 0.0000
Y 0.5000 0.5000 0.5000
```

Output
formation energy: -319 meV/atom
symmetry: P4/mmm, No. 123
total magnetic moment: 0.00 μB per formula unit